1.
! Zn2Cd2Au | Alexandria via LeMat-Bulk | PBE-GGA | relaxed; values from VASP
! Magnetization: 0.000 μB per formula unit
! Mass density: 9.46 Mg/m³
! Polymorph energy (0 for the lowest one): 0.000 eV/atom
&SYSTEM
  ibrav = 0, nat = 10, ntyp = 3
/
ATOMIC_SPECIES
Zn 65.41 Zn.upf
Au 196.97 Au.upf
Cd 112.41 Cd.upf
ATOMIC_POSITIONS angstrom
Zn 3.9040 -3.4260 -3.6811
Zn 1.0990 -5.8314 -4.2054
Zn -1.0988 -3.7429 -2.0291
Zn 1.7062 -1.3375 -1.5048
Au 0.0000 0.0000 0.0000
Au 1.4026 -3.5844 -2.8551
Cd 3.9763 -3.1069 -0.8604
Cd 3.4518 -6.1513 -2.6480
Cd 0.0845 -6.2629 -1.4698
Cd 0.6091 -3.2185 0.3177
CELL_PARAMETERS angstrom
-2.9529 -5.5553 -2.5205
5.7582 -1.6135 -3.1897
1.2556 -2.2009 3.3799

---

2.
! Ca2ErTl3 | Alexandria via LeMat-Bulk | PBE-GGA | relaxed; values from VASP
! Total DFT energy (no corrections): -3.01 eV/atom
! Magnetization: 0.000 μB per formula unit
! Mass density: 8.37 Mg/m³
&SYSTEM
  ibrav = 0, nat = 6, ntyp = 3
/
ATOMIC_SPECIES
Ca 40.08 Ca.upf
Er 167.26 Er.upf
Tl 204.38 Tl.upf
ATOMIC_POSITIONS angstrom
Ca 2.9555 -7.5182 5.9644
Ca -1.1814 -2.6838 1.6005
Er 0.8871 -5.1010 3.7825
Tl 0.0000 0.0000 0.0000
Tl 4.1087 -4.8015 4.3341
Tl 2.1230 -2.4810 2.2395
CELL_PARAMETERS angstrom
-2.7439 0.0666 2.6749
-1.7137 -2.9861 -1.6836
6.2317 -7.2825 6.5736

---

3.
! La2Mn | Alexandria via LeMat-Bulk | PBE-GGA | relaxed; values from VASP
! Total DFT energy (no corrections): -5.55 eV/atom
! Magnetization: 3.991 μB per formula unit
! Mass density: 5.83 Mg/m³
&SYSTEM
  ibrav = 0, nat = 6, ntyp = 2
/
ATOMIC_SPECIES
La 138.91 La.upf
Mn 54.94 Mn.upf
ATOMIC_POSITIONS angstrom
La -2.3191 -9.4945 1.4021
La -3.5030 -6.5072 1.1311
La -0.9412 -7.3911 -0.6168
La -0.6578 -6.9896 2.5703
Mn 0.0000 0.0000 0.0000
Mn -0.9276 -3.7978 0.5608
CELL_PARAMETERS angstrom
2.3678 -5.9746 0.5420
-2.7558 -4.2069 4.0378
-3.3225 -5.0098 -2.3364

---

4.
! La3GaPb2 | Alexandria via LeMat-Bulk | PBE-GGA | relaxed; values from VASP
! Total DFT energy (no corrections): -4.78 eV/atom
! Magnetization: 0.000 μB per formula unit
! Mass density: 7.74 Mg/m³
&SYSTEM
  ibrav = 0, nat = 24, ntyp = 3
/
ATOMIC_SPECIES
La 138.91 La.upf
Ga 69.72 Ga.upf
Pb 207.20 Pb.upf
ATOMIC_POSITIONS angstrom
La 1.1626 4.8049 0.7007
La 3.4878 7.8623 12.4214
La 3.4878 11.1385 5.8603
La 1.1626 1.5287 7.2617
La 1.1626 8.9389 2.9373
La 3.4878 3.7283 10.1847
La 3.4878 2.6053 3.6237
La 1.1626 10.0619 9.4983
La 1.1626 5.6528 4.9709
La 3.4878 7.0144 8.1512
La 3.4878 11.9864 1.5902
La 1.1626 0.6808 11.5319
Ga 1.1626 1.7190 1.7034
Ga 3.4878 10.9482 11.4187
Ga 3.4878 8.0527 4.8577
Ga 1.1626 4.6146 8.2644
Pb 1.1626 8.7788 6.4974
Pb 3.4878 3.8884 6.6247
Pb 3.4878 2.4452 0.0636
Pb 1.1626 10.2220 13.0584
Pb 1.1626 12.6238 4.0734
Pb 3.4878 0.0434 9.0486
Pb 3.4878 6.2902 2.4876
Pb 1.1626 6.3770 10.6344
CELL_PARAMETERS angstrom
4.6504 0.0000 0.0000
0.0000 12.6672 0.0000
0.0000 0.0000 13.1220

---

5.
! Ce2HgI6 | Alexandria via LeMat-Bulk | PBE-GGA | relaxed; values from VASP
! Magnetization: 2.000 μB per formula unit
! ΔE_f (raw): -10.7 eV per formula unit
! Mass density: 3.88 Mg/m³
&SYSTEM
  ibrav = 0, nat = 9, ntyp = 3
/
ATOMIC_SPECIES
Ce 140.12 Ce.upf
Hg 200.59 Hg.upf
I 126.90 I.upf
ATOMIC_POSITIONS angstrom
Ce -2.8652 -5.8193 1.3264
Ce -5.5976 -2.2936 2.6905
Hg -0.9230 -3.5084 7.2189
I -5.8262 -5.4214 2.3419
I -4.5563 -2.3255 5.6690
I -1.5463 -6.2094 4.1663
I -3.9066 -5.7874 -1.6521
I -2.6367 -2.6915 1.6750
I -6.9166 -1.9035 -0.1493
CELL_PARAMETERS angstrom
-7.5399 -4.6045 -3.2019
3.6371 -7.0427 1.5632
-4.5601 3.5343 5.6557

---

6.
! MgScTaIn2 | Alexandria via LeMat-Bulk | PBE-GGA | relaxed; values from VASP
! Total DFT energy (no corrections): -4.04 eV/atom
! Magnetization: 0.000 μB per formula unit
! Mass density: 6.28 Mg/m³
&SYSTEM
  ibrav = 0, nat = 5, ntyp = 4
/
ATOMIC_SPECIES
Sc 44.96 Sc.upf
Mg 24.30 Mg.upf
In 114.82 In.upf
Ta 180.95 Ta.upf
ATOMIC_POSITIONS angstrom
Sc -1.0721 -0.6078 4.1737
Mg 0.0000 0.0000 0.0000
In 1.6277 -0.3589 1.8636
In -1.2571 1.6353 1.4129
Ta -1.4427 -1.8843 0.8972
CELL_PARAMETERS angstrom
-2.5143 3.2706 2.8259
-2.8854 -3.7686 1.7944
3.2554 -0.7177 3.7271

---

7.
! Ce3Pm2ErSe6 | Alexandria via LeMat-Bulk | PBE-GGA | relaxed; values from VASP
! Magnetization: 2.980 μB per formula unit
! ΔE_f (raw): -21.8 eV per formula unit
! Mass density: 7.27 Mg/m³
&SYSTEM
  ibrav = 0, nat = 12, ntyp = 4
/
ATOMIC_SPECIES
Ce 140.12 Ce.upf
Pm 145.00 Pm.upf
Er 167.26 Er.upf
Se 78.96 Se.upf
ATOMIC_POSITIONS angstrom
Ce -2.3627 4.1390 3.4243
Ce 4.7659 0.0220 3.4243
Ce 1.2016 2.0805 3.4243
Pm 0.0045 4.1614 -0.0004
Pm 3.6022 2.0835 -0.0004
Er 0.0000 0.0000 0.0000
Se 3.5768 2.1337 5.1877
Se 2.4364 4.2185 1.6893
Se -1.1736 2.0274 1.6609
Se 0.0606 4.1644 5.1877
Se -0.0332 -0.0575 5.1593
Se 2.3425 -0.0033 1.6609
CELL_PARAMETERS angstrom
7.2147 -0.0028 -0.0004
-3.6081 6.2477 -0.0004
-1.2035 -2.0838 6.8494

---

8.
! KZr3Pt | Alexandria via LeMat-Bulk | PBE-GGA | relaxed; values from VASP
! Magnetization: 0.000 μB per formula unit
! Mass density: 7.78 Mg/m³
! Polymorph energy (0 for the lowest one): 1.450 eV/atom
&SYSTEM
  ibrav = 0, nat = 5, ntyp = 3
/
ATOMIC_SPECIES
K 39.10 K.upf
Zr 91.22 Zr.upf
Pt 195.08 Pt.upf
ATOMIC_POSITIONS angstrom
K 0.0000 0.0000 0.0000
Zr 0.0000 2.3837 0.0000
Zr 0.0000 0.0000 2.3837
Zr 2.3837 0.0000 0.0000
Pt 2.3837 2.3837 2.3837
CELL_PARAMETERS angstrom
4.7675 0.0000 0.0000
0.0000 4.7675 0.0000
0.0000 0.0000 4.7675

---

9.
! LaSnSb2I | Alexandria via LeMat-Bulk | PBE-GGA | relaxed; values from VASP
! Magnetization: 0.000 μB per formula unit
! ΔE_f (raw): 1.0 eV per formula unit
! Mass density: 4.62 Mg/m³
! Polymorph energy (0 for the lowest one): 0.200 eV/atom
&SYSTEM
  ibrav = 0, nat = 5, ntyp = 4
/
ATOMIC_SPECIES
I 126.90 I.upf
Sb 121.76 Sb.upf
Sn 118.71 Sn.upf
La 138.91 La.upf
ATOMIC_POSITIONS angstrom
I -1.1376 0.9827 2.6137
Sb -1.4551 -2.6649 0.3687
Sb -2.4302 1.1223 -1.4797
Sn -5.0229 -0.5599 1.5027
La 0.0000 0.0000 0.0000
CELL_PARAMETERS angstrom
-4.8604 2.2445 -2.9593
-2.9102 -5.3297 0.7373
-2.2751 1.9655 5.2274

---

10.
! BeCr3B | Alexandria via LeMat-Bulk | PBE-GGA | relaxed; values from VASP
! Magnetization: 1.121 μB per formula unit
! Mass density: 5.16 Mg/m³
! Polymorph energy (0 for the lowest one): 0.000 eV/atom
&SYSTEM
  ibrav = 0, nat = 5, ntyp = 3
/
ATOMIC_SPECIES
Cr 52.00 Cr.upf
B 10.81 B.upf
Be 9.01 Be.upf
ATOMIC_POSITIONS angstrom
Cr 0.0000 1.9191 0.0000
Cr 0.0000 0.0000 1.9191
Cr 1.9191 0.0000 0.0000
B 0.0000 0.0000 0.0000
Be 1.9191 1.9191 1.9191
CELL_PARAMETERS angstrom
3.8383 0.0000 0.0000
0.0000 3.8383 0.0000
0.0000 0.0000 3.8383

---

11.
! Ni2IrRh5 | Alexandria via LeMat-Bulk | PBE-GGA | relaxed; values from VASP
! Total DFT energy (no corrections): -5.88 eV/atom
! Magnetization: 3.636 μB per formula unit
! Mass density: 9.00 Mg/m³
&SYSTEM
  ibrav = 0, nat = 8, ntyp = 3
/
ATOMIC_SPECIES
Ni 58.69 Ni.upf
Ir 192.22 Ir.upf
Rh 102.91 Rh.upf
ATOMIC_POSITIONS angstrom
Ni 0.0696 -3.5825 -0.8212
Ni 1.4476 -2.0196 2.7106
Ir 0.0000 0.0000 0.0000
Rh 2.9387 -6.5080 1.7356
Rh 2.0861 -4.9569 3.3471
Rh 2.8748 -2.8400 -1.8302
Rh -0.9632 -1.7037 1.1309
Rh 2.0222 -1.2889 -0.2187
CELL_PARAMETERS angstrom
-1.9264 -3.4073 2.2619
2.0656 -3.7576 -3.9042
4.8217 -0.6319 3.1592

---

12.
! PuU2Ni2As2 | Alexandria via LeMat-Bulk | PBE-GGA | relaxed; values from VASP
! Total DFT energy (no corrections): -8.71 eV/atom
! Magnetization: 10.097 μB per formula unit
! Mass density: 12.60 Mg/m³
&SYSTEM
  ibrav = 0, nat = 7, ntyp = 4
/
ATOMIC_SPECIES
Pu 244.00 Pu.upf
U 238.03 U.upf
Ni 58.69 Ni.upf
As 74.92 As.upf
ATOMIC_POSITIONS angstrom
Pu 0.0000 0.0000 0.0000
U -0.9828 -5.2462 -0.4502
U -5.9512 -5.4924 -1.1198
Ni -3.9570 -3.6972 -0.7474
Ni -2.9770 -7.0414 -0.8227
As -5.0830 -8.4548 -1.1866
As -1.8510 -2.2838 -0.3835
CELL_PARAMETERS angstrom
-3.7604 -1.1375 1.5732
-3.2087 -0.8814 -2.6148
0.0351 -8.7197 -0.5284

---

13.
! CaMgSi2 | Alexandria via LeMat-Bulk | PBE-GGA | relaxed; values from VASP
! Magnetization: 0.000 μB per formula unit
! ΔE_f (raw): -0.6 eV per formula unit
! Mass density: 2.42 Mg/m³
&SYSTEM
  ibrav = 0, nat = 4, ntyp = 3
/
ATOMIC_SPECIES
Ca 40.08 Ca.upf
Mg 24.30 Mg.upf
Si 28.09 Si.upf
ATOMIC_POSITIONS angstrom
Ca 1.7988 1.8001 1.5950
Mg 1.7988 1.8001 4.7849
Si 0.0000 0.0000 6.0063
Si 0.0000 0.0000 3.5634
CELL_PARAMETERS angstrom
3.5995 0.0008 0.0000
-0.0018 3.5995 0.0000
0.0000 0.0000 6.3798

---

14.
! Cs2ScSnCl6 | Alexandria via LeMat-Bulk | PBE-GGA | relaxed; values from VASP
! Magnetization: 1.000 μB per formula unit
! ΔE_f (raw): -17.0 eV per formula unit
! Mass density: 3.03 Mg/m³
! Polymorph energy (0 for the lowest one): 0.000 eV/atom
&SYSTEM
  ibrav = 0, nat = 10, ntyp = 4
/
ATOMIC_SPECIES
Cs 132.91 Cs.upf
Sc 44.96 Sc.upf
Sn 118.71 Sn.upf
Cl 35.45 Cl.upf
ATOMIC_POSITIONS angstrom
Cs 7.5682 3.7841 3.0698
Cs 3.7841 7.5682 3.0698
Sc 3.7841 3.7841 0.0000
Sn 0.0000 0.0000 0.0000
Cl 3.7841 3.7841 2.4946
Cl 7.5682 7.5682 3.6451
Cl 2.0048 2.0048 0.0000
Cl 5.5634 5.5634 0.0000
Cl 5.5634 2.0048 0.0000
Cl 2.0048 5.5634 0.0000
CELL_PARAMETERS angstrom
7.5682 0.0000 0.0000
0.0000 7.5682 0.0000
3.7841 3.7841 6.1397

---

15.
! TiNb2Ni3 | Alexandria via LeMat-Bulk | PBE-GGA | relaxed; values from VASP
! Total DFT energy (no corrections): -7.51 eV/atom
! Magnetization: 0.000 μB per formula unit
! Mass density: 7.56 Mg/m³
&SYSTEM
  ibrav = 0, nat = 12, ntyp = 3
/
ATOMIC_SPECIES
Ti 47.87 Ti.upf
Nb 92.91 Nb.upf
Ni 58.69 Ni.upf
ATOMIC_POSITIONS angstrom
Ti 8.0605 3.2454 1.8549
Ti 0.1716 -0.7387 2.7695
Nb 0.0000 0.0000 0.0000
Nb 3.3476 1.9654 3.2940
Nb 3.1761 2.7041 0.5245
Nb 4.8844 0.5414 1.3304
Ni 4.1315 4.4413 3.1616
Ni 5.0715 2.9906 4.9493
Ni 5.7540 2.6479 2.5827
Ni 4.1005 -1.9346 1.4628
Ni 2.4780 -0.1412 2.0417
Ni 3.1606 -0.4839 -0.3248
CELL_PARAMETERS angstrom
-1.3652 0.6853 4.7331
3.2450 -3.5868 -1.1578
6.3522 5.4082 1.0491